# Er5HgSe4

Crystalline Er5HgSe4 at its relaxed geometry (PBE-GGA, Alexandria via LeMat-Bulk).

Uncorrected energy   -0.380 Ry/atom
Space group   No. 87

Lattice parameters (Å, degrees): 7.0950 7.0950 7.0950 99.60 99.60 131.80
With the nearest neighbours (Å) after each atom.
Element x y z (fractional)
Er (0.0000, 0.0000, 0.0000)  2 Hg 2.90, 4 Se 2.92
Er (0.1988, 0.6007, 0.7995)  5 Se 2.86-2.91, 1 Hg 2.91
Er (0.3993, 0.1988, 0.5981)  5 Se 2.86-2.91, 1 Hg 2.91
Er (0.6007, 0.8012, 0.4019)  5 Se 2.86-2.91, 1 Hg 2.91
Er (0.8012, 0.3993, 0.2005)  5 Se 2.86-2.91, 1 Hg 2.91
Hg (0.5000, 0.5000, 0.0000)  6 Er 2.90-2.91
Se (0.0986, 0.3028, 0.4014)  6 Er 2.86-2.92
Se (0.3028, 0.9014, 0.2042)  6 Er 2.86-2.92
Se (0.6972, 0.0986, 0.7958)  6 Er 2.86-2.92
Se (0.9014, 0.6972, 0.5986)  6 Er 2.86-2.92